Computed, not measured: crystalline SrTlBiO2 at its relaxed geometry at the PBE level of DFT.

Properties
* theoretical density: 6.52 Mg/m³
* E_tot: -3.7859 eV/atom
* formation energy from raw total energies: -1.084 eV/f.u.
* SG: No. 123

a = 4.619 Å, b = 6.363 Å, c = 4.619 Å
α = 90.00°, β = 90.00°, γ = 90.00°
Sites, in units of the cell vectors:
O1 0.000 0.000 0.500
O2 0.500 0.000 0.000
Bi1 0.500 0.500 0.500
Sr1 0.000 0.000 0.000
Tl1 0.000 0.500 0.000

***

Computed, not measured: crystalline Sc3MnGa12 at its relaxed geometry at the PBE level of DFT.

Properties
* theoretical density: 6.27 Mg/m³
* E_tot: -4.4007 eV/atom
* formation enthalpy at 0 K: -36 kJ/mol of atoms
* SG: No. 123

a = 4.076 Å, b = 4.076 Å, c = 16.375 Å
α = 90.00°, β = 90.00°, γ = 90.00°
Sites, in units of the cell vectors:
Ga1 0.500 0.500 0.249
Ga2 0.500 0.000 0.627
Ga3 0.500 0.000 0.884
Ga4 0.500 0.000 0.116
Ga5 0.000 0.500 0.373
Ga6 0.000 0.500 0.116
Ga7 0.500 0.000 0.373
Ga8 0.500 0.500 0.000
Ga9 0.000 0.500 0.627
Ga10 0.000 0.500 0.884
Ga11 0.500 0.500 0.500
Ga12 0.500 0.500 0.751
Sc1 0.000 0.000 0.500
Sc2 0.000 0.000 0.755
Sc3 0.000 0.000 0.245
Mn1 0.000 0.000 0.000

***

- The lowest E_tot belongs to which entry?
  Sc3MnGa12

***

- Which of these has the highest E_tot?
  SrTlBiO2

***

- What is the theoretical density in the first record?
  6.52 Mg/m³